## Co3MoF (PBE+U)

Data for Co3MoF after structural relaxation.

Cell and atoms, written as extended XYZ:
```
5
Lattice="4.166 0.000 0.000 0.000 4.166 0.000 0.000 0.000 4.166" Properties=species:S:1:pos:R:3 pbc="T T T"
Co 0.000 0.000 2.083
Co 2.083 0.000 0.000
Co 0.000 2.083 0.000
Mo 2.083 2.083 2.083
F 0.000 0.000 0.000
```

Results
mass density = 6.7 g cm⁻³
calculated total energy = -0.1538 hartree per atom
size of the total moment = 9.91 μB per cell
space-group type = Pm-3m